Compound: CsK2SnHg
Source: the Alexandria database
Functional: PBE
Structure: relaxed

Properties
The value obtained for the total magnetization is 0.3 μB per cell. The value obtained for the energy relative to the lowest polymorph listed for this composition is 0.0000 eV/atom. Its formation energy from the elements is -6.3 kJ per mole of atoms. Its crystal system is tetragonal.

Cell: 6.724 6.724 5.558 Å, 90.00 90.00 90.00°
Fractional coordinates of all 5 atoms:
1 Cs 0.500 0.500 0.500
2 K 0.000 0.500 0.000
3 K 0.500 0.000 0.000
4 Hg 0.000 0.000 0.000
5 Sn 0.000 0.000 0.500

***

Compound: PmTl2IrO8
Source: the Alexandria database
Functional: PBE
Structure: relaxed

Properties
The value obtained for the total magnetization is 1.6 μB per cell. The raw formation energy is -1.0718 eV/atom. Its crystal system is triclinic.

Cell: 5.131 5.083 6.820 Å, 88.18 88.58 91.03°
Site moments in Bohr magnetons follow the coordinates.
Fractional coordinates of all 12 atoms:
1 Pm 0.000 0.000 0.500  0.01
2 Tl 0.484 0.479 0.752  0.01
3 Tl 0.516 0.521 0.248  0.01
4 Ir 0.000 0.000 0.000  0.72
5 O 0.153 0.796 0.208  0.15
6 O 0.706 0.749 0.997  0.01
7 O 0.832 0.189 0.204  0.14
8 O 0.847 0.204 0.792  0.15
9 O 0.294 0.251 0.003  0.01
10 O 0.168 0.811 0.796  0.14
11 O 0.664 0.713 0.515  0.02
12 O 0.336 0.287 0.485  0.02

***

Compound: Cu2AgGe
Source: the Alexandria database
Functional: PBE
Structure: relaxed

Properties
The value obtained for the total magnetization is 0.0 μB per cell. Its formation energy from the elements is 27.5 kJ per mole of atoms. Its crystal system is tetragonal.

Cell: 7.024 7.024 5.612 Å, 51.26 51.26 90.00°
Fractional coordinates of all 8 atoms:
1 Ge 0.500 0.500 0.000
2 Ge 0.250 0.750 0.500
3 Cu 0.600 0.125 0.250
4 Cu 0.150 0.625 0.250
5 Cu 0.375 0.400 0.750
6 Cu 0.875 0.850 0.750
7 Ag 0.000 0.000 0.000
8 Ag 0.750 0.250 0.500

***

Compound: PmAgOs2O8
Source: the Alexandria database
Functional: PBE
Structure: relaxed

Properties
The value obtained for the total magnetization is 4.0 μB per cell. The raw formation energy is -1.2016 eV/atom. Its crystal system is trigonal.

Cell: 6.105 6.105 6.796 Å, 90.00 90.00 120.00°
Site moments in Bohr magnetons follow the coordinates.
Fractional coordinates of all 12 atoms:
1 Pm 0.000 0.000 0.500  0.08
2 Ag 0.000 0.000 0.000  0.04
3 Os 0.667 0.333 0.192  1.10
4 Os 0.333 0.667 0.808  1.10
5 O 0.333 0.667 0.066  0.20
6 O 0.341 0.169 0.282  0.14
7 O 0.831 0.172 0.282  0.14
8 O 0.667 0.333 0.934  0.20
9 O 0.169 0.828 0.718  0.14
10 O 0.659 0.831 0.718  0.14
11 O 0.172 0.341 0.718  0.14
12 O 0.828 0.659 0.282  0.14